The following is a DFT calculation (GGA-PBEsol) of crystalline LiTl2Cd at its relaxed geometry.

Properties
The value obtained for the formation energy is -0.105 eV/atom. Its crystal system is tetragonal. The volume comes out at 23.07 Å³/atom. The value obtained for the electronic total energy is -8.8 eV/cell. Its symmetry is I4/mmm (139).

Cell: 4.875 4.874 5.192 Å, 117.99 118.00 90.00°
Element x y z (fractional)
Tl: 0.750 0.750 0.500
Tl: 0.250 0.250 0.500
Cd: 0.500 0.000 0.000
Li: 0.000 0.500 0.000